No. 1
First-principles (PBE) data for an optimized crystal structure of Ti8SiGe2, as listed in Alexandria.

Unit cell a=4.053 b=6.729 c=7.347 alpha=112.17 beta=106.01 gamma=90.00
Positions (direct):
Ti (0.593, 0.443, 0.186)
Ti (0.152, 0.213, 0.305)
Ti (0.407, 0.557, 0.814)
Ti (0.038, 0.764, 0.077)
Ti (0.848, 0.787, 0.695)
Ti (0.962, 0.236, 0.923)
Ti (0.325, 0.084, 0.649)
Ti (0.675, 0.916, 0.351)
Ge (0.793, 0.341, 0.586)
Ge (0.207, 0.659, 0.414)
Si (0.500, 0.000, 0.000)

Results
DFT total energy = -7.51 eV per atom
D(E_F) = 12.59 states/eV/cell
Spin magnetization = 0.000 μB per cell
Formation energy from raw total energies = -4.74 eV per formula unit

No. 2
First-principles (PBE) data for an optimized crystal structure of HfTiHN, as listed in Alexandria.

Unit cell a=3.073 b=3.073 c=5.771 alpha=74.56 beta=74.56 gamma=60.00
Positions (direct):
Hf (0.267, 0.267, 0.198)
H (0.992, 0.992, 0.024)
Ti (0.101, 0.101, 0.696)
N (0.843, 0.843, 0.472)

Results
DFT total energy = -8.21 eV per atom
D(E_F) = 1.34 states/eV/cell
Spin magnetization = 0.000 μB per cell

Q: Which formula does entry 2 have?
A: HfTiHN